Material: Dy5Tm2Sc2
Method: DFT, GGA-PBE
State: relaxed

Cell lengths 8.259, 6.892, 11.009 Å; angles 108.24, 112.03, 90.00 degrees
Sites, in units of the cell vectors:
1 Dy 0.162 0.681 0.781
2 Dy 0.838 0.900 0.219
3 Dy 0.119 0.181 0.781
4 Dy 0.881 0.400 0.219
5 Dy 0.413 0.957 0.329
6 Dy 0.587 0.628 0.671
7 Dy 0.416 0.457 0.329
8 Dy 0.584 0.128 0.671
9 Dy 0.203 0.793 0.500
10 Dy 0.797 0.293 0.500
11 Tm 0.000 0.010 0.000
12 Tm 0.500 0.510 0.000
13 Tm 0.194 0.289 0.500
14 Tm 0.806 0.789 0.500
15 Sc 0.174 0.580 0.082
16 Sc 0.826 0.498 0.918
17 Sc 0.409 0.080 0.082
18 Sc 0.591 0.998 0.918

## Properties
Volume = 30.379 A^3/atom
Fermi-level density of states = 27.281 states/eV/cell
E_tot = -4.7432 eV/atom
ΔH_f (0 K) = 0.21 eV/atom
M_tot = 0.004 Bohr magnetons per cell
Distance to the lowest polymorph of the same formula = 175 meV/atom